{"formula": "Ga6CuNi12", "functional": "PBE", "state": "relaxed", "cell": [[-1.4754, 2.4148, -5.7733], [-2.1064, -6.0707, -0.2214], [-4.0382, 2.9461, 4.0439]], "species": ["Ni", "Ni", "Ni", "Ni", "Ni", "Ni", "Ni", "Ni", "Ni", "Ni", "Ni", "Ni", "Ga", "Ga", "Ga", "Ga", "Ga", "Ga", "Cu"], "frac_coords": [[0.8074, 0.4246, 0.4241], [0.4241, 0.8074, 0.4246], [0.4246, 0.4241, 0.8074], [0.9995, 0.7339, 0.2659], [0.0005, 0.2661, 0.7341], [0.1926, 0.5754, 0.5759], [0.5759, 0.1926, 0.5754], [0.7341, 0.0005, 0.2661], [0.5754, 0.5759, 0.1926], [0.7339, 0.2659, 0.9995], [0.2659, 0.9995, 0.7339], [0.2661, 0.7341, 0.0005], [0.8392, 0.8398, 0.5682], [0.1602, 0.4318, 0.1608], [0.1608, 0.1602, 0.4318], [0.8398, 0.5682, 0.8392], [0.5682, 0.8392, 0.8398], [0.4318, 0.1608, 0.1602], [0.0000, 0.0000, 0.0000]], "formation_enthalpy_0k_ev_per_atom": -0.1523, "m_tot_mub_per_cell": 0.727, "total_energy_ev_per_atom": -4.9751, "n_ef_per_ev_atom": 0.97}

{"formula": "NpGa4Cu2Ni", "functional": "PBE", "state": "relaxed", "cell": [[4.1476, 0.0000, 0.0000], [2.0738, 3.5919, 0.0000], [2.0738, 1.1973, 8.6342]], "species": ["Ga", "Ga", "Ga", "Ga", "Np", "Cu", "Cu", "Ni"], "frac_coords": [[0.8681, 0.8681, 0.3956], [0.5979, 0.5979, 0.2062], [0.1319, 0.1319, 0.6044], [0.4021, 0.4021, 0.7938], [0.0000, 0.0000, 0.0000], [0.2378, 0.2378, 0.2866], [0.7622, 0.7622, 0.7134], [0.5000, 0.5000, 0.5000]], "formation_enthalpy_0k_ev_per_atom": -0.1273, "m_tot_mub_per_cell": 4.108, "total_energy_ev_per_atom": -5.0050, "n_ef_per_ev_atom": 0.97}